[1]
# CoPdRu3

Crystalline CoPdRu3 at its relaxed geometry (PBE-GGA, the Alexandria database).

Properties
- mass density (g/cm³) = 9.30
- energy relative to the lowest polymorph listed for this composition (kcal/mol of atoms) = 0.00
- space group = Pm-3m, No. 221
- uncorrected energy (Ry/atom) = -0.485
- V (Å³/cell) = 83.6

Cell lengths 4.373, 4.373, 4.373 Å; angles 90.00, 90.00, 90.00 degrees
Site moments in Bohr magnetons follow the coordinates.
Atoms (fractional coordinates):
Ru (0.000, 0.500, 0.000)  0.67
Ru (0.000, 0.000, 0.500)  0.55
Ru (0.500, 0.000, 0.000)  0.69
Co (0.000, 0.000, 0.000)  -0.13
Pd (0.500, 0.500, 0.500)  0.23


[2]
# CoPdRu2

Crystalline CoPdRu2 at its relaxed geometry (PBE-GGA, the Alexandria database).

Properties
- mass density (g/cm³) = 7.92
- energy relative to the lowest polymorph listed for this composition (kcal/mol of atoms) = 19.86
- space group = I-42d, No. 122
- uncorrected energy (Ry/atom) = -0.469
- V (Å³/cell) = 154.0

Cell lengths 5.347, 5.347, 6.582 Å; angles 66.03, 66.03, 90.00 degrees
Atoms (fractional coordinates):
Ru (0.590, 0.125, 0.250)
Ru (0.160, 0.625, 0.250)
Ru (0.375, 0.410, 0.750)
Ru (0.875, 0.840, 0.750)
Co (0.500, 0.500, 0.000)
Co (0.250, 0.750, 0.500)
Pd (0.000, 0.000, 0.000)
Pd (0.750, 0.250, 0.500)


[3]
# Co2PdRu2

Crystalline Co2PdRu2 at its relaxed geometry (PBE-GGA, the Alexandria database).

Properties
- mass density (g/cm³) = 10.76
- energy relative to the lowest polymorph listed for this composition (kcal/mol of atoms) = 0.00
- space group = P4/mbm, No. 127
- uncorrected energy (Ry/atom) = -0.539
- V (Å³/cell) = 131.6

Cell lengths 7.018, 7.018, 2.673 Å; angles 90.00, 90.00, 90.00 degrees
Site moments in Bohr magnetons follow the coordinates.
Atoms (fractional coordinates):
Ru (0.174, 0.674, 0.500)  0.13
Ru (0.674, 0.826, 0.500)  0.10
Ru (0.826, 0.326, 0.500)  0.13
Ru (0.326, 0.174, 0.500)  0.10
Co (0.380, 0.880, 0.000)  0.62
Co (0.880, 0.620, 0.000)  0.60
Co (0.620, 0.120, 0.000)  0.62
Co (0.120, 0.380, 0.000)  0.60
Pd (0.000, 0.000, 0.000)  0.06
Pd (0.500, 0.500, 0.000)  0.06


[4]
# Co2PdRu

Crystalline Co2PdRu at its relaxed geometry (PBE-GGA, the Alexandria database).

Properties
- mass density (g/cm³) = 10.44
- space group = P4/mmm, No. 123
- uncorrected energy (Ry/atom) = -0.511
- V (Å³/cell) = 51.8

Cell lengths 3.572, 3.807, 3.807 Å; angles 90.00, 90.00, 90.00 degrees
Site moments in Bohr magnetons follow the coordinates.
Atoms (fractional coordinates):
Ru (0.500, 0.500, 0.500)  1.01
Co (0.000, 0.000, 0.500)  1.61
Co (0.000, 0.500, 0.000)  1.61
Pd (0.500, 0.000, 0.000)  0.25


[5]
# CoPdRu2

Crystalline CoPdRu2 at its relaxed geometry (PBE-GGA, the Alexandria database).

Properties
- mass density (g/cm³) = 10.99
- energy relative to the lowest polymorph listed for this composition (kcal/mol of atoms) = 0.00
- space group = Fm-3m, No. 225
- uncorrected energy (Ry/atom) = -0.532
- V (Å³/cell) = 55.5

Cell lengths 4.282, 4.282, 4.282 Å; angles 60.00, 60.00, 60.00 degrees
Site moments in Bohr magnetons follow the coordinates.
Atoms (fractional coordinates):
Ru (0.250, 0.250, 0.250)  0.35
Ru (0.750, 0.750, 0.750)  0.35
Co (0.000, 0.000, 0.000)  1.88
Pd (0.500, 0.500, 0.500)  0.01


[6]
# Co2PdRu2

Crystalline Co2PdRu2 at its relaxed geometry (PBE-GGA, the Alexandria database).

Properties
- mass density (g/cm³) = 10.46
- energy relative to the lowest polymorph listed for this composition (kcal/mol of atoms) = 1.57
- space group = P4/mbm, No. 127
- uncorrected energy (Ry/atom) = -0.534
- V (Å³/cell) = 135.4

Cell lengths 7.146, 7.146, 2.651 Å; angles 90.00, 90.00, 90.00 degrees
Site moments in Bohr magnetons follow the coordinates.
Atoms (fractional coordinates):
Ru (0.373, 0.873, 0.000)  0.21
Ru (0.873, 0.627, 0.000)  0.19
Ru (0.627, 0.127, 0.000)  0.21
Ru (0.127, 0.373, 0.000)  0.19
Co (0.167, 0.667, 0.500)  1.13
Co (0.667, 0.833, 0.500)  1.11
Co (0.833, 0.333, 0.500)  1.13
Co (0.333, 0.167, 0.500)  1.11
Pd (0.000, 0.000, 0.000)  0.05
Pd (0.500, 0.500, 0.000)  0.05


[7]
# CoPd2Ru

Crystalline CoPd2Ru at its relaxed geometry (PBE-GGA, the Alexandria database).

Properties
- mass density (g/cm³) = 11.01
- energy relative to the lowest polymorph listed for this composition (kcal/mol of atoms) = 0.00
- space group = Fm-3m, No. 225
- uncorrected energy (Ry/atom) = -0.457
- V (Å³/cell) = 56.2

Cell lengths 4.301, 4.301, 4.301 Å; angles 60.00, 60.00, 60.00 degrees
Atoms (fractional coordinates):
Ru (0.500, 0.500, 0.500)
Co (0.000, 0.000, 0.000)
Pd (0.250, 0.250, 0.250)
Pd (0.750, 0.750, 0.750)


[8]
# Co2SbPdRu

Crystalline Co2SbPdRu at its relaxed geometry (PBE-GGA, the Alexandria database).

Properties
- mass density (g/cm³) = 7.29
- space group = P4/mmm, No. 123
- uncorrected energy (Ry/atom) = -0.377
- V (Å³/cell) = 101.8

Cell lengths 4.588, 4.836, 4.588 Å; angles 90.00, 90.00, 90.00 degrees
Site moments in Bohr magnetons follow the coordinates.
Atoms (fractional coordinates):
Sb (0.000, 0.000, 0.000)  -0.05
Co (0.000, 0.000, 0.500)  1.49
Co (0.500, 0.000, 0.000)  1.58
Pd (0.500, 0.500, 0.500)  0.24
Ru (0.000, 0.500, 0.000)  1.16


[9]
# ScCo2PdRu

Crystalline ScCo2PdRu at its relaxed geometry (PBE-GGA, the Alexandria database).

Properties
- mass density (g/cm³) = 6.65
- space group = P4/mmm, No. 123
- uncorrected energy (Ry/atom) = -0.455
- V (Å³/cell) = 92.4

Cell lengths 4.325, 4.940, 4.325 Å; angles 90.00, 90.00, 90.00 degrees
Site moments in Bohr magnetons follow the coordinates.
Atoms (fractional coordinates):
Sc (0.500, 0.500, 0.500)  -0.05
Ru (0.000, 0.000, 0.000)  0.04
Co (0.000, 0.000, 0.500)  0.41
Co (0.500, 0.000, 0.000)  0.35
Pd (0.000, 0.500, 0.000)  0.00


[10]
# YCoPd2Ru

Crystalline YCoPd2Ru at its relaxed geometry (PBE-GGA, the Alexandria database).

Properties
- mass density (g/cm³) = 6.93
- space group = P4/mmm, No. 123
- uncorrected energy (Ry/atom) = -0.379
- V (Å³/cell) = 110.6

Cell lengths 4.905, 4.597, 4.905 Å; angles 90.00, 90.00, 90.00 degrees
Site moments in Bohr magnetons follow the coordinates.
Atoms (fractional coordinates):
Y (0.000, 0.000, 0.000)  -0.12
Ru (0.500, 0.500, 0.500)  2.34
Co (0.000, 0.500, 0.000)  1.24
Pd (0.000, 0.000, 0.500)  0.00
Pd (0.500, 0.000, 0.000)  0.10


[11]
# Co2PdS

Crystalline Co2PdS at its relaxed geometry (PBE-GGA, the Alexandria database).

Properties
- mass density (g/cm³) = 6.41
- space group = I-42d, No. 122
- uncorrected energy (Ry/atom) = -0.402
- V (Å³/cell) = 132.7

Cell lengths 4.815, 4.815, 6.661 Å; angles 68.81, 68.81, 90.00 degrees
Atoms (fractional coordinates):
S (0.500, 0.500, 0.000)
S (0.250, 0.750, 0.500)
Co (0.559, 0.125, 0.250)
Co (0.191, 0.625, 0.250)
Co (0.375, 0.441, 0.750)
Co (0.875, 0.809, 0.750)
Pd (0.000, 0.000, 0.000)
Pd (0.750, 0.250, 0.500)


[12]
# Co4PdS8

Crystalline Co4PdS8 at its relaxed geometry (PBE-GGA, the Alexandria database).

Properties
- mass density (g/cm³) = 4.74
- space group = C2/m, No. 12
- uncorrected energy (Ry/atom) = -0.401
- V (Å³/cell) = 209.6

Cell lengths 6.695, 6.695, 6.360 Å; angles 104.08, 106.15, 120.31 degrees
Atoms (fractional coordinates):
Co (0.228, 0.228, 0.000)
Co (0.772, 0.772, 0.000)
Co (0.263, 0.772, 0.035)
Co (0.737, 0.228, 0.965)
Pd (0.000, 0.500, 0.500)
S (0.702, 0.030, 0.216)
S (0.186, 0.514, 0.216)
S (0.684, 0.509, 0.194)
S (0.203, 0.033, 0.236)
S (0.797, 0.967, 0.764)
S (0.316, 0.491, 0.806)
S (0.814, 0.486, 0.784)
S (0.298, 0.970, 0.784)